Below is a geometry-optimized HfAsBr2 structure, with properties calculated at the PBE level.

Cell lengths 9.7302, 9.7302, 5.1887 Å; angles 90.00, 90.00, 90.00 degrees
Space group I-42d (No. 122)
Unique sites:
Hf 0.0000 0.0000 0.0000 (multiplicity 4)
As 0.0000 0.0000 0.5000 (multiplicity 4)
Br 0.1055 0.2500 0.1250 (multiplicity 8)

Summary:
DOS at the Fermi energy in states/eV per atom: 0.55
Formation energy (no corrections) in meV/atom: -460

---

Below is a geometry-optimized LuPuOsAu structure, with properties calculated at the PBE level.

Cell lengths 6.9328, 6.9328, 6.9328 Å; angles 90.00, 90.00, 90.00 degrees
Space group F-43m (No. 216)
Unique sites:
Lu 0.0000 0.0000 0.0000 (multiplicity 4)
Pu 0.0000 0.0000 0.5000 (multiplicity 4)
Os 0.2500 0.2500 0.2500 (multiplicity 4)
Au 0.2500 0.2500 0.7500 (multiplicity 4)

Summary:
DOS at the Fermi energy in states/eV per atom: 2.56
Total energy in eV/atom: -8.627

---

Below is a geometry-optimized PrPa structure, with properties calculated at the PBE level.

Cell lengths 3.5055, 3.5055, 9.8239 Å; angles 90.00, 90.00, 90.00 degrees
Space group P4/nmm (No. 129, origin choice 2)
Unique sites:
Pr 0.2500 0.2500 0.1591 (multiplicity 2)
Pa 0.2500 0.2500 0.6000 (multiplicity 2)

Summary:
DOS at the Fermi energy in states/eV per atom: 1.54
Total energy in eV/atom: -6.991

---

Below is a geometry-optimized CrSi4Ni structure, with properties calculated at the PBE level.

Cell lengths 6.8061, 6.8061, 6.8061 Å; angles 90.00, 90.00, 90.00 degrees
Space group F-43m (No. 216)
Unique sites:
Cr 0.0000 0.0000 0.0000 (multiplicity 4)
Si 0.1247 0.1247 0.3753 (multiplicity 16)
Ni 0.2500 0.2500 0.7500 (multiplicity 4)

Summary:
DOS at the Fermi energy in states/eV per atom: 0.50
Formation energy (no corrections) in meV/atom: 400

---

Below is a geometry-optimized Sr4PmCd5 structure, with properties calculated at the PBE level.

Cell lengths 3.9937, 3.9937, 20.1856 Å; angles 90.00, 90.00, 90.00 degrees
Space group P4/mmm (No. 123)
Unique sites:
Sr 0.0000 0.0000 0.1029 (multiplicity 2)
Sr 0.0000 0.0000 0.3075 (multiplicity 2)
Pm 0.0000 0.0000 0.5000 (multiplicity 1)
Cd 0.5000 0.5000 0.0000 (multiplicity 1)
Cd 0.5000 0.5000 0.2046 (multiplicity 2)
Cd 0.5000 0.5000 0.4132 (multiplicity 2)

Summary:
DOS at the Fermi energy in states/eV per atom: 0.81
Total energy in eV/atom: -1.931

---

Below is a geometry-optimized Ga6AgSb7Te8Cl24 structure, with properties calculated at the PBE level.

Cell lengths 11.7743, 12.8321, 13.1682 Å; angles 115.16, 108.00, 100.30 degrees
Space group P1 (No. 1)
Unique sites:
Ga 0.0000 0.0000 0.0000 (multiplicity 1)
Ga 0.0013 0.9514 0.4513 (multiplicity 1)
Ga 0.1289 0.4801 0.6670 (multiplicity 1)
Ga 0.1364 0.5363 0.2220 (multiplicity 1)
Ga 0.4708 0.9323 0.1025 (multiplicity 1)
Ga 0.6741 0.5414 0.5434 (multiplicity 1)
Ag 0.1212 0.7293 0.9136 (multiplicity 1)
Sb 0.3672 0.9429 0.4862 (multiplicity 1)
Sb 0.4227 0.2941 0.0968 (multiplicity 1)
Sb 0.4260 0.5149 0.9475 (multiplicity 1)
Sb 0.5719 0.2430 0.8397 (multiplicity 1)
Sb 0.7117 0.1920 0.5763 (multiplicity 1)
Sb 0.7178 0.9696 0.7222 (multiplicity 1)
Sb 0.7701 0.5444 0.1965 (multiplicity 1)
Te 0.3148 0.2518 0.8439 (multiplicity 1)
Te 0.4704 0.2067 0.5770 (multiplicity 1)
Te 0.4696 0.9604 0.7253 (multiplicity 1)
Te 0.5298 0.5595 0.2053 (multiplicity 1)
Te 0.6026 0.9263 0.4638 (multiplicity 1)
Te 0.6664 0.2812 0.1039 (multiplicity 1)
Te 0.6755 0.5233 0.9526 (multiplicity 1)
Te 0.8260 0.2344 0.8268 (multiplicity 1)
Cl 0.0089 0.4347 0.2663 (multiplicity 1)
Cl 0.0162 0.9819 0.8317 (multiplicity 1)
Cl 0.0382 0.6386 0.1510 (multiplicity 1)
Cl 0.1034 0.8521 0.5241 (multiplicity 1)
Cl 0.1082 0.4836 0.8320 (multiplicity 1)
Cl 0.1259 0.0535 0.4053 (multiplicity 1)
Cl 0.1530 0.6721 0.7107 (multiplicity 1)
Cl 0.1598 0.1459 0.1706 (multiplicity 1)
Cl 0.1834 0.4083 0.0783 (multiplicity 1)
Cl 0.3150 0.4534 0.6804 (multiplicity 1)
Cl 0.3204 0.6625 0.3893 (multiplicity 1)
Cl 0.3275 0.8319 0.1387 (multiplicity 1)
Cl 0.3667 0.9990 0.9856 (multiplicity 1)
Cl 0.5088 0.3772 0.3826 (multiplicity 1)
Cl 0.5460 0.8003 0.9996 (multiplicity 1)
Cl 0.6038 0.6843 0.6401 (multiplicity 1)
Cl 0.6236 0.0912 0.2765 (multiplicity 1)
Cl 0.7706 0.4861 0.6754 (multiplicity 1)
Cl 0.8066 0.6133 0.4820 (multiplicity 1)
Cl 0.8145 0.0333 0.9841 (multiplicity 1)
Cl 0.8167 0.8228 0.2846 (multiplicity 1)
Cl 0.9527 0.0778 0.5947 (multiplicity 1)
Cl 0.9659 0.8176 0.9883 (multiplicity 1)
Cl 0.9717 0.3373 0.4934 (multiplicity 1)

Summary:
Formation energy (no corrections) in meV/atom: -784

---

Below is a geometry-optimized CsWS3 structure, with properties calculated at the PBE level.

Cell lengths 4.8295, 4.8295, 4.8295 Å; angles 90.00, 90.00, 90.00 degrees
Space group Pm-3m (No. 221)
Unique sites:
Cs 0.0000 0.0000 0.0000 (multiplicity 1)
W 0.5000 0.5000 0.5000 (multiplicity 1)
S 0.0000 0.5000 0.5000 (multiplicity 3)

Summary:
DOS at the Fermi energy in states/eV per atom: 0.29
Formation energy (no corrections) in meV/atom: -546

---

Below is a geometry-optimized Pm2Os3W structure, with properties calculated at the PBE level.

Cell lengths 5.6423, 5.6423, 8.3473 Å; angles 90.00, 90.00, 120.00 degrees
Space group P6_3/mmc (No. 194)
Unique sites:
Pm 0.3333 0.6667 0.0653 (multiplicity 4)
Os 0.1713 0.3427 0.7500 (multiplicity 6)
W 0.0000 0.0000 0.0000 (multiplicity 2)

Summary:
DOS at the Fermi energy in states/eV per atom: 1.09
Total energy in eV/atom: -9.481

---

Below is a geometry-optimized BeSi2 structure, with properties calculated at the PBE level.

Cell lengths 3.7314, 3.9488, 7.2886 Å; angles 98.73, 95.46, 116.93 degrees
Space group P-1 (No. 2)
Unique sites:
Be 0.0381 0.0780 0.3511 (multiplicity 2)
Si 0.1439 0.7930 0.9400 (multiplicity 2)
Si 0.2817 0.5365 0.6284 (multiplicity 2)

Summary:
DOS at the Fermi energy in states/eV per atom: 0.23
Formation energy (no corrections) in meV/atom: 293

---

Below is a geometry-optimized MgSc2Te4 structure, with properties calculated at the PBE level.

Cell lengths 8.5927, 8.5927, 12.1418 Å; angles 90.00, 90.00, 90.00 degrees
Space group I4_1/amd (No. 141, origin choice 2)
Unique sites:
Mg 0.0000 0.2500 0.3750 (multiplicity 4)
Sc 0.0000 0.0000 0.0000 (multiplicity 8)
Te 0.0000 0.0158 0.7577 (multiplicity 16)

Summary:
DOS at the Fermi energy in states/eV per atom: 0.00
Formation energy (no corrections) in meV/atom: -1115